Crystalline TiMn2Nb2 at its relaxed geometry. Source: the Alexandria database, functional PBE-GGA.

The crystal system is orthorhombic. The calculated formation energy comes out at 52 meV per atom. Its energy is -9.22 eV/atom. The calculation puts the magnetic moment at 0.0 μB/f.u.

abc: 8.8993 8.8993 2.9404
angles: 90.00 90.00 160.80
Last column: nearest neighbours and their distance in Å.
Element x y z (fractional)
Ti 0.0000 0.0000 0.0000  8 Mn 2.58
Mn 0.4139 0.5861 0.5000  4 Ti 2.58, 4 Nb 2.59
Mn 0.5861 0.4139 0.5000  4 Ti 2.58, 4 Nb 2.59
Nb 0.1737 0.8263 0.0000  4 Mn 2.59
Nb 0.8263 0.1737 0.0000  4 Mn 2.59